The following is a DFT calculation (PBE) of crystalline AlCuHg2 at its relaxed geometry.

Its formation enthalpy at 0 K is 0.1643 eV/atom. Its calculated volume is 77.4 Å³/f.u.

It has space group Cm (No. 8), with a = 8.931 Å, b = 3.542 Å, c = 4.980 Å, α = 90.00°, β = 100.82° and γ = 90.00°. The distinct sites, in fractional coordinates, are Al at (0.000, 0.000, 0.000), Cu at (0.228, 0.500, 0.184), Hg at (0.247, 0.000, 0.747) and Hg at (0.480, 0.000, 0.431).